(1)
First-principles (PBE) data for an optimized crystal structure of NaAcGaSb, as listed in Alexandria.

Lattice parameters (Å, degrees): 5.5068 5.5068 5.5068 60.00 60.00 60.00
Fractional coordinates of all 4 atoms:
Na 0.0000 0.0000 0.0000
Ac 0.5000 0.5000 0.5000
Ga 0.7500 0.7500 0.7500
Sb 0.2500 0.2500 0.2500

Properties
Raw formation energy: -0.410 eV per atom
Magnetic moment: 0.0 μB per cell
Volume: 118.1 Å³/cell



(2)
First-principles (PBE) data for an optimized crystal structure of LaDyHoCd, as listed in Alexandria.

Lattice parameters (Å, degrees): 3.6456 3.6456 9.0989 90.00 90.00 90.00
Fractional coordinates of all 4 atoms:
La 0.0000 0.0000 0.0000
Dy 0.5000 0.5000 0.7157
Ho 0.5000 0.5000 0.2830
Cd 0.0000 0.0000 0.4980

Properties
Offset from the most stable computed form: 0.00 eV/f.u.
E_form: -0.1388 eV per atom
Magnetic moment: 0.0 μB per cell
Volume: 120.9 Å³/cell



(3)
First-principles (PBE) data for an optimized crystal structure of Ta2Ga4Rh, as listed in Alexandria.

Lattice parameters (Å, degrees): 7.3616 7.3616 6.0524 113.51 113.51 22.91
Fractional coordinates of all 7 atoms:
Ta 0.2296 0.2296 0.2096
Ta 0.7704 0.7704 0.7904
Ga 0.0959 0.0959 0.7360
Ga 0.3997 0.3997 0.6401
Ga 0.6003 0.6003 0.3599
Ga 0.9041 0.9041 0.2640
Rh 0.0000 0.0000 0.0000

Properties
E_form: -0.1395 eV per atom
Magnetic moment: 0.0 μB per cell
Volume: 116.6 Å³/cell



(4)
First-principles (PBE) data for an optimized crystal structure of VHPt3, as listed in Alexandria.

Lattice parameters (Å, degrees): 4.0021 4.0021 4.0021 90.00 90.00 90.00
Fractional coordinates of all 5 atoms:
V 0.0000 0.0000 0.0000
H 0.5000 0.5000 0.5000
Pt 0.0000 0.5000 0.5000
Pt 0.5000 0.0000 0.5000
Pt 0.5000 0.5000 0.0000

Properties
Offset from the most stable computed form: 0.00 eV/f.u.
Magnetic moment: 2.0 μB per cell
Volume: 64.1 Å³/cell



(5)
First-principles (PBE) data for an optimized crystal structure of SrCeS2F, as listed in Alexandria.

Lattice parameters (Å, degrees): 4.0539 4.0539 14.0687 90.00 90.00 90.00
Fractional coordinates of all 10 atoms:
Sr 0.2500 0.2500 0.1037
Sr 0.7500 0.7500 0.8963
Ce 0.2500 0.2500 0.6176
Ce 0.7500 0.7500 0.3824
S 0.2500 0.2500 0.4062
S 0.2500 0.2500 0.8006
S 0.7500 0.7500 0.1994
S 0.7500 0.7500 0.5938
F 0.2500 0.7500 0.0000
F 0.7500 0.2500 0.0000

Properties
Raw formation energy: -2.564 eV per atom
Magnetic moment: 1.7 μB per cell
Volume: 231.2 Å³/cell



(6)
First-principles (PBE) data for an optimized crystal structure of NpScAlRe, as listed in Alexandria.

Lattice parameters (Å, degrees): 4.6888 4.6888 4.6888 60.00 60.00 60.00
Fractional coordinates of all 4 atoms:
Np 0.0000 0.0000 0.0000
Sc 0.7500 0.7500 0.7500
Al 0.5000 0.5000 0.5000
Re 0.2500 0.2500 0.2500

Properties
E_form: 0.0752 eV per atom
Magnetic moment: 3.5 μB per cell
Volume: 72.9 Å³/cell



(7)
First-principles (PBE) data for an optimized crystal structure of BeInCl, as listed in Alexandria.

Lattice parameters (Å, degrees): 4.7271 4.7271 4.7271 60.00 60.00 60.00
Fractional coordinates of all 3 atoms:
Be 0.0000 0.0000 0.0000
In 0.7500 0.7500 0.7500
Cl 0.2500 0.2500 0.2500

Properties
Offset from the most stable computed form: 1.85 eV/f.u.
Raw formation energy: 0.426 eV per atom
Magnetic moment: 0.0 μB per cell
Volume: 74.7 Å³/cell



(8)
First-principles (PBE) data for an optimized crystal structure of CaNb3Ga, as listed in Alexandria.

Lattice parameters (Å, degrees): 4.7390 4.7390 4.7390 90.00 90.00 90.00
Fractional coordinates of all 5 atoms:
Ca 0.0000 0.0000 0.0000
Nb 0.0000 0.0000 0.5000
Nb 0.0000 0.5000 0.0000
Nb 0.5000 0.0000 0.0000
Ga 0.5000 0.5000 0.5000

Properties
Offset from the most stable computed form: 5.95 eV/f.u.
E_form: 2.1188 eV per atom
Magnetic moment: 0.0 μB per cell
Volume: 106.4 Å³/cell